This record from Alexandria via LeMat-Bulk describes crystalline TaSeI3 at its relaxed geometry. The functional is GGA-PBE.

Summary:
Formation energy from raw total energies in eV/atom: 0.451

a b c (Å): 5.4675 5.4675 5.4675
angles (deg): 90.00 90.00 90.00
Positions (direct):
Ta (0.0000, 0.0000, 0.0000)
Se (0.5000, 0.5000, 0.5000)
I (0.0000, 0.0000, 0.5000)
I (0.0000, 0.5000, 0.0000)
I (0.5000, 0.0000, 0.0000)

***

This record from Alexandria via LeMat-Bulk describes crystalline Nb3PPd at its relaxed geometry. The functional is GGA-PBE.

Summary:
Relative energy among the computed polymorphs in eV per atom: 1.160
Formation energy in eV/f.u.: 6.926

a b c (Å): 4.8368 4.8368 4.8368
angles (deg): 90.00 90.00 90.00
Positions (direct):
Nb (0.0000, 0.0000, 0.5000)
Nb (0.0000, 0.5000, 0.0000)
Nb (0.5000, 0.0000, 0.0000)
P (0.5000, 0.5000, 0.5000)
Pd (0.0000, 0.0000, 0.0000)

***

This record from Alexandria via LeMat-Bulk describes crystalline Pa2TiZn at its relaxed geometry. The functional is GGA-PBE.

Summary:
Relative energy among the computed polymorphs in eV per atom: 0.193
Formation energy in eV/f.u.: 0.945

a b c (Å): 4.9678 4.9678 4.9678
angles (deg): 60.00 60.00 60.00
Positions (direct):
Pa (0.2500, 0.2500, 0.2500)
Pa (0.7500, 0.7500, 0.7500)
Ti (0.0000, 0.0000, 0.0000)
Zn (0.5000, 0.5000, 0.5000)

***

This record from Alexandria via LeMat-Bulk describes crystalline Ta2HgMo at its relaxed geometry. The functional is GGA-PBE.

Summary:
Formation energy in eV/f.u.: 1.441

a b c (Å): 5.1351 5.1351 5.1351
angles (deg): 132.55 132.55 69.37
Positions (direct):
Ta (0.0000, 0.0000, 0.0000)
Ta (0.7500, 0.2500, 0.5000)
Hg (0.2500, 0.7500, 0.5000)
Mo (0.5000, 0.5000, 0.0000)

***

This record from Alexandria via LeMat-Bulk describes crystalline ScReAuS2 at its relaxed geometry. The functional is GGA-PBE.

Summary:
Formation energy from raw total energies in eV/atom: 0.779

a b c (Å): 4.7928 4.7928 5.2763
angles (deg): 90.00 90.00 90.00
Positions (direct):
Sc (0.0000, 0.0000, 0.0000)
Re (0.5000, 0.5000, 0.5000)
Au (0.0000, 0.0000, 0.5000)
S (0.0000, 0.5000, 0.0000)
S (0.5000, 0.0000, 0.0000)

***

This record from Alexandria via LeMat-Bulk describes crystalline Ce7Ir4Au at its relaxed geometry. The functional is GGA-PBE.

Summary:
Formation energy in eV/f.u.: -6.145

a b c (Å): 7.1826 7.1826 9.6129
angles (deg): 121.98 121.98 45.71
Positions (direct):
Ce (0.0000, 0.0000, 0.0000)
Ce (0.1796, 0.1796, 0.6229)
Ce (0.3077, 0.3077, 0.1136)
Ce (0.4292, 0.4292, 0.6320)
Ce (0.5708, 0.5708, 0.3680)
Ce (0.6923, 0.6923, 0.8864)
Ce (0.8204, 0.8204, 0.3771)
Ir (0.0625, 0.0625, 0.7697)
Ir (0.2066, 0.2066, 0.3310)
Ir (0.7934, 0.7934, 0.6690)
Ir (0.9375, 0.9375, 0.2303)
Au (0.5000, 0.5000, 0.0000)

***

| no. | N(E_F) (states/eV/atom) | total energy (eV per cell) |
| --- | --- | --- |
| 1 | 1.35 | -17.73 |
| 2 | 1.44 | -33.89 |
| 3 | 2.25 | -27.22 |
| 4 | 1.08 | -33.40 |
| 5 | 0.61 | -26.42 |
| 6 | 2.42 | -86.40 |